CuAg | GGA-PBE | optimized geometry

a = 2.939 Å, b = 3.096 Å, c = 26.601 Å
α = 90.00°, β = 90.00°, γ = 90.00°
Atoms (fractional coordinates):
Cu 0.250 0.250 0.025
Cu 0.250 0.250 0.123
Cu 0.250 0.250 0.830
Cu 0.250 0.250 0.926
Cu 0.750 0.750 0.074
Cu 0.750 0.750 0.170
Cu 0.750 0.750 0.877
Cu 0.750 0.750 0.975
Ag 0.250 0.750 0.250
Ag 0.250 0.750 0.393
Ag 0.250 0.750 0.536
Ag 0.250 0.750 0.678
Ag 0.750 0.250 0.322
Ag 0.750 0.250 0.464
Ag 0.750 0.250 0.607
Ag 0.750 0.250 0.750

Properties
**Formation energy from the elements**: 18 kJ/mol of formula units
**Space group**: Pmmn, No. 59

***

Cu2Ag7 | GGA-PBE | optimized geometry

a = 5.011 Å, b = 5.011 Å, c = 8.529 Å
α = 108.86°, β = 108.86°, γ = 48.55°
Atoms (fractional coordinates):
Cu 0.157 0.157 0.053
Cu 0.843 0.843 0.947
Ag 0.160 0.160 0.382
Ag 0.184 0.184 0.741
Ag 0.480 0.480 0.153
Ag 0.500 0.500 0.500
Ag 0.520 0.520 0.847
Ag 0.816 0.816 0.259
Ag 0.840 0.840 0.618

Properties
**Formation energy from the elements**: 46 kJ/mol of formula units
**Polymorph energy (0 for the lowest one)**: 0.027 eV/atom
**Space group**: C2/m, No. 12

***

Cu3Ag2 | GGA-PBE | optimized geometry

a = 6.672 Å, b = 2.789 Å, c = 7.871 Å
α = 90.00°, β = 101.97°, γ = 90.00°
Atoms (fractional coordinates):
Cu 0.000 0.000 0.000
Cu 0.086 0.500 0.273
Cu 0.279 0.500 0.909
Cu 0.371 0.000 0.191
Cu 0.509 0.500 0.461
Cu 0.803 0.000 0.393
Ag 0.203 0.000 0.566
Ag 0.574 0.000 0.786
Ag 0.686 0.500 0.104
Ag 0.899 0.500 0.695

Properties
**Formation energy from the elements**: 44 kJ/mol of formula units
**Polymorph energy (0 for the lowest one)**: 0.050 eV/atom
**Space group**: Pm, No. 6

***

Cu4Ag5 | GGA-PBE | optimized geometry

a = 5.884 Å, b = 5.884 Å, c = 8.782 Å
α = 105.01°, β = 105.01°, γ = 28.03°
Atoms (fractional coordinates):
Cu 0.004 0.004 0.144
Cu 0.341 0.341 0.951
Cu 0.659 0.659 0.049
Cu 0.996 0.996 0.856
Ag 0.000 0.000 0.500
Ag 0.334 0.334 0.628
Ag 0.338 0.338 0.251
Ag 0.662 0.662 0.749
Ag 0.666 0.666 0.372

Properties
**Formation energy from the elements**: 70 kJ/mol of formula units
**Polymorph energy (0 for the lowest one)**: 0.043 eV/atom
**Space group**: C2/m, No. 12

***

Cu7Ag2 | GGA-PBE | optimized geometry

a = 7.975 Å, b = 5.984 Å, c = 5.906 Å
α = 84.24°, β = 48.29°, γ = 47.47°
Atoms (fractional coordinates):
Cu 0.000 0.000 0.000
Cu 0.010 0.661 0.339
Cu 0.327 0.673 0.327
Cu 0.339 0.990 0.010
Cu 0.661 0.010 0.990
Cu 0.673 0.327 0.673
Cu 0.990 0.339 0.661
Ag 0.339 0.339 0.661
Ag 0.661 0.661 0.339

Properties
**Formation energy from the elements**: 58 kJ/mol of formula units
**Polymorph energy (0 for the lowest one)**: 0.020 eV/atom
**Space group**: Fmmm, No. 69

***

CuAg | GGA-PBE | optimized geometry

a = 3.926 Å, b = 9.901 Å, c = 9.901 Å
α = 22.85°, β = 90.00°, γ = 90.00°
Atoms (fractional coordinates):
Cu 0.000 0.000 0.000
Cu 0.000 0.193 0.193
Cu 0.000 0.792 0.792
Cu 0.500 0.091 0.091
Cu 0.500 0.500 0.500
Ag 0.000 0.401 0.401
Ag 0.000 0.591 0.591
Ag 0.500 0.293 0.293
Ag 0.500 0.692 0.692
Ag 0.500 0.901 0.901

Properties
**Formation energy from the elements**: 19 kJ/mol of formula units
**Space group**: Amm2, No. 38

***

CuAg5 | GGA-PBE | optimized geometry

a = 5.003 Å, b = 2.904 Å, c = 7.027 Å
α = 90.00°, β = 90.41°, γ = 90.00°
Atoms (fractional coordinates):
Cu 0.000 0.000 0.000
Ag 0.162 0.500 0.322
Ag 0.330 0.000 0.668
Ag 0.500 0.500 0.000
Ag 0.670 0.000 0.332
Ag 0.838 0.500 0.678

Properties
**Formation energy from the elements**: 29 kJ/mol of formula units
**Polymorph energy (0 for the lowest one)**: 0.018 eV/atom
**Space group**: P2/m, No. 10

***

Cu3Ag7 | GGA-PBE | optimized geometry

a = 9.711 Å, b = 9.711 Å, c = 5.898 Å
α = 98.77°, β = 98.77°, γ = 17.21°
Atoms (fractional coordinates):
Cu 0.000 0.000 0.000
Cu 0.404 0.404 0.158
Cu 0.595 0.595 0.256
Ag 0.193 0.193 0.564
Ag 0.196 0.196 0.081
Ag 0.410 0.410 0.696
Ag 0.590 0.590 0.783
Ag 0.802 0.802 0.879
Ag 0.808 0.808 0.374
Ag 0.999 0.999 0.444

Properties
**Formation energy from the elements**: 61 kJ/mol of formula units
**Polymorph energy (0 for the lowest one)**: 0.034 eV/atom
**Space group**: Cm, No. 8

***

Cu3Ag2 | GGA-PBE | optimized geometry

a = 6.168 Å, b = 6.168 Å, c = 3.757 Å
α = 90.00°, β = 90.00°, γ = 90.00°
Atoms (fractional coordinates):
Cu 0.000 0.000 0.000
Cu 0.095 0.713 0.500
Cu 0.287 0.095 0.500
Cu 0.500 0.500 0.500
Cu 0.713 0.905 0.500
Cu 0.905 0.287 0.500
Ag 0.198 0.392 0.000
Ag 0.392 0.802 0.000
Ag 0.608 0.198 0.000
Ag 0.802 0.608 0.000

Properties
**Formation energy from the elements**: 46 kJ/mol of formula units
**Polymorph energy (0 for the lowest one)**: 0.054 eV/atom
**Space group**: P4/m, No. 83

***

Cu3Ag5 | GGA-PBE | optimized geometry

a = 4.024 Å, b = 4.024 Å, c = 7.750 Å
α = 90.00°, β = 90.00°, γ = 90.00°
Atoms (fractional coordinates):
Cu 0.000 0.000 0.000
Cu 0.000 0.500 0.215
Cu 0.500 0.000 0.215
Ag 0.000 0.000 0.453
Ag 0.000 0.500 0.734
Ag 0.500 0.000 0.734
Ag 0.500 0.500 0.454
Ag 0.500 0.500 0.994

Properties
**Formation energy from the elements**: 54 kJ/mol of formula units
**Polymorph energy (0 for the lowest one)**: 0.033 eV/atom
**Space group**: P4mm, No. 99

***

> Which value of formation energy from the elements does entry 2 give?

46 kJ/mol of formula units

***

> formation energy from the elements of number 4 (Cu4Ag5)?

70 kJ/mol of formula units

***

Repeat the sixth record exactly.
CuAg | GGA-PBE | optimized geometry

a = 3.926 Å, b = 9.901 Å, c = 9.901 Å
α = 22.85°, β = 90.00°, γ = 90.00°
Atoms (fractional coordinates):
Cu 0.000 0.000 0.000
Cu 0.000 0.193 0.193
Cu 0.000 0.792 0.792
Cu 0.500 0.091 0.091
Cu 0.500 0.500 0.500
Ag 0.000 0.401 0.401
Ag 0.000 0.591 0.591
Ag 0.500 0.293 0.293
Ag 0.500 0.692 0.692
Ag 0.500 0.901 0.901

Properties
**Formation energy from the elements**: 19 kJ/mol of formula units
**Space group**: Amm2, No. 38